Entry w
# PrZrSc2, optimized geometry, DFT GGA-PBE
data_PrZrSc2
_symmetry_space_group_name_H-M 'R 3 m'
_symmetry_Int_Tables_number 160
_symmetry_space_group_name_Hall 'R 3 -2"'
_cell_length_a 3.3740
_cell_length_b 3.3740
_cell_length_c 32.2516
_cell_angle_alpha 90.00
_cell_angle_beta 90.00
_cell_angle_gamma 120.00
loop_
_atom_site_label
_atom_site_fract_x
_atom_site_fract_y
_atom_site_fract_z
Pr1 0.0000 0.0000 0.0000
Zr1 0.0000 0.0000 0.1657
Sc1 0.0000 0.0000 0.4221
Sc2 0.0000 0.0000 0.5766
# Spin magnetization (μB per cell): 0.0
# Calculated volume (Å³/f.u.): 106

***

Entry x
# PrZrSc2, optimized geometry, DFT GGA-PBE
data_PrZrSc2
_symmetry_space_group_name_H-M 'P 4/m m m'
_symmetry_Int_Tables_number 123
_symmetry_space_group_name_Hall '-P 4 2'
_cell_length_a 3.830
_cell_length_b 3.830
_cell_length_c 7.289
_cell_angle_alpha 90.00
_cell_angle_beta 90.00
_cell_angle_gamma 90.00
loop_
_atom_site_label
_atom_site_fract_x
_atom_site_fract_y
_atom_site_fract_z
Pr1 0.000 0.000 0.000
Zr1 0.000 0.000 0.500
Sc1 0.500 0.500 0.286
# Spin magnetization (μB per cell): 0.0
# Calculated volume (Å³/f.u.): 107

***

Of them, entry w has the highest stability.

***

Entry w
# PrZrSc2, optimized geometry, DFT GGA-PBE
data_PrZrSc2
_symmetry_space_group_name_H-M 'P 4/m m m'
_symmetry_Int_Tables_number 123
_symmetry_space_group_name_Hall '-P 4 2'
_cell_length_a 4.761
_cell_length_b 4.761
_cell_length_c 4.620
_cell_angle_alpha 90.00
_cell_angle_beta 90.00
_cell_angle_gamma 90.00
loop_
_atom_site_label
_atom_site_fract_x
_atom_site_fract_y
_atom_site_fract_z
Pr1 0.000 0.000 0.000
Zr1 0.500 0.500 0.000
Sc1 0.000 0.500 0.500
# Spin magnetization (μB per cell): 0.0
# Calculated volume (Å³/f.u.): 105

***

Entry x
# PrZrSc2, optimized geometry, DFT GGA-PBE
data_PrZrSc2
_symmetry_space_group_name_H-M 'F m -3 m'
_symmetry_Int_Tables_number 225
_symmetry_space_group_name_Hall '-F 4 2 3'
_cell_length_a 7.479
_cell_length_b 7.479
_cell_length_c 7.479
_cell_angle_alpha 90.00
_cell_angle_beta 90.00
_cell_angle_gamma 90.00
loop_
_atom_site_label
_atom_site_fract_x
_atom_site_fract_y
_atom_site_fract_z
Pr1 0.000 0.000 0.000
Zr1 0.000 0.000 0.500
Sc1 0.250 0.250 0.250
# Spin magnetization (μB per cell): 0.0
# Calculated volume (Å³/f.u.): 105

***

Of them, entry w has the highest stability.

***

Entry w
# PrZr2Sc, optimized geometry, DFT GGA-PBE
data_PrZr2Sc
_symmetry_space_group_name_H-M 'R 3 m'
_symmetry_Int_Tables_number 160
_symmetry_space_group_name_Hall 'R 3 -2"'
_cell_length_a 3.3116
_cell_length_b 3.3116
_cell_length_c 32.6871
_cell_angle_alpha 90.00
_cell_angle_beta 90.00
_cell_angle_gamma 120.00
loop_
_atom_site_label
_atom_site_fract_x
_atom_site_fract_y
_atom_site_fract_z
Pr1 0.0000 0.0000 0.0000
Zr1 0.0000 0.0000 0.2451
Zr2 0.0000 0.0000 0.4213
Sc1 0.0000 0.0000 0.8332
# Spin magnetization (μB per cell): 0.0
# Calculated volume (Å³/f.u.): 103

***

Entry x
# PrZr2Sc, optimized geometry, DFT GGA-PBE
data_PrZr2Sc
_symmetry_space_group_name_H-M 'P 4/m m m'
_symmetry_Int_Tables_number 123
_symmetry_space_group_name_Hall '-P 4 2'
_cell_length_a 3.824
_cell_length_b 3.824
_cell_length_c 7.127
_cell_angle_alpha 90.00
_cell_angle_beta 90.00
_cell_angle_gamma 90.00
loop_
_atom_site_label
_atom_site_fract_x
_atom_site_fract_y
_atom_site_fract_z
Pr1 0.000 0.000 0.000
Zr1 0.500 0.500 0.288
Sc1 0.000 0.000 0.500
# Spin magnetization (μB per cell): 0.0
# Calculated volume (Å³/f.u.): 104

***

Of them, entry w has the highest stability.

***

Entry w
# PrZr2Sc, optimized geometry, DFT GGA-PBE
data_PrZr2Sc
_symmetry_space_group_name_H-M 'R -3 m'
_symmetry_Int_Tables_number 166
_symmetry_space_group_name_Hall '-R 3 2"'
_cell_length_a 3.3105
_cell_length_b 3.3105
_cell_length_c 32.6534
_cell_angle_alpha 90.00
_cell_angle_beta 90.00
_cell_angle_gamma 120.00
loop_
_atom_site_label
_atom_site_fract_x
_atom_site_fract_y
_atom_site_fract_z
Pr1 0.0000 0.0000 0.0000
Zr1 0.0000 0.0000 0.2460
Sc1 0.0000 0.0000 0.5000
# Spin magnetization (μB per cell): 0.0
# Calculated volume (Å³/f.u.): 103

***

Entry x
# PrZr2Sc, optimized geometry, DFT GGA-PBE
data_PrZr2Sc
_symmetry_space_group_name_H-M 'P 4/m m m'
_symmetry_Int_Tables_number 123
_symmetry_space_group_name_Hall '-P 4 2'
_cell_length_a 4.666
_cell_length_b 4.666
_cell_length_c 4.732
_cell_angle_alpha 90.00
_cell_angle_beta 90.00
_cell_angle_gamma 90.00
loop_
_atom_site_label
_atom_site_fract_x
_atom_site_fract_y
_atom_site_fract_z
Pr1 0.000 0.000 0.000
Zr1 0.000 0.500 0.500
Sc1 0.500 0.500 0.000
# Spin magnetization (μB per cell): 0.0
# Calculated volume (Å³/f.u.): 103

***

Of them, entry x has the highest stability.